# 1
AcHoGe4 | GGA-PBE | relaxed

The value obtained for the energy relative to the elements is -0.304 eV per atom. For the size of the total moment, the calculation gives 0.00 μB/cell. The calculated volume comes out at 23.034 Å³/atom. The calculation puts the density at 8.2 g/cm3.

Cell lengths 8.207, 8.207, 8.207 Å; angles 90.00, 90.00, 90.00 degrees
Space group F-43m (No. 216)
Inequivalent atoms, fractional coordinates:
Ac1 0.000 0.000 0.000 [4 per cell]
Ho1 0.250 0.250 0.750 [4 per cell]
Ge1 0.120 0.120 0.380 [16 per cell]


# 2
CaCeGe2 | GGA-PBE | relaxed

The value obtained for the energy relative to the elements is -0.569 eV per atom. For the size of the total moment, the calculation gives 0.52 μB/cell. The calculated volume comes out at 23.333 Å³/atom. The calculation puts the density at 5.8 g/cm3.

Cell lengths 3.356, 3.356, 8.287 Å; angles 90.00, 90.00, 90.00 degrees
Space group P4/mmm (No. 123)
Inequivalent atoms, fractional coordinates:
Ca1 0.000 0.000 0.000 [1 per cell]
Ce1 0.000 0.000 0.500 [1 per cell]
Ge1 0.500 0.500 0.251 [2 per cell]


# 3
ZrP2Ir3 | GGA-PBE | relaxed

The value obtained for the energy relative to the elements is -0.699 eV per atom. For the size of the total moment, the calculation gives 0.00 μB/cell. The calculated volume comes out at 15.481 Å³/atom. The calculation puts the density at 13.0 g/cm3.

Cell lengths 15.549, 3.796, 9.802 Å; angles 90.00, 105.59, 90.00 degrees
Space group C2/m (No. 12)
Inequivalent atoms, fractional coordinates:
Zr1 0.000 0.000 0.000 [2 per cell]
Zr2 0.148 0.000 0.688 [4 per cell]
P1 0.034 0.500 0.805 [4 per cell]
P2 0.135 0.500 0.452 [4 per cell]
P3 0.199 0.000 0.132 [4 per cell]
Ir1 0.000 0.500 0.500 [2 per cell]
Ir2 0.036 0.000 0.314 [4 per cell]
Ir3 0.139 0.500 0.212 [4 per cell]
Ir4 0.175 0.500 0.943 [4 per cell]
Ir5 0.228 0.000 0.394 [4 per cell]


# 4
KCaTeBr | GGA-PBE | relaxed

For the size of the total moment, the calculation gives 0.00 μB/cell. The calculated volume comes out at 36.446 Å³/atom. The calculation puts the density at 3.3 g/cm3. The calculation puts the formation energy from raw total energies at -6.3 eV per formula unit.

Cell lengths 4.5693, 4.5693, 24.1895 Å; angles 90.00, 90.00, 120.00 degrees
Space group R3m (No. 160, hexagonal axes)
Inequivalent atoms, fractional coordinates:
K1 0.0000 0.0000 0.0000 [3 per cell]
Ca1 0.0000 0.0000 0.1768 [3 per cell]
Te1 0.0000 0.0000 0.5751 [3 per cell]
Br1 0.0000 0.0000 0.7664 [3 per cell]


# 5
BeV3Pb | GGA-PBE | relaxed

The value obtained for the energy relative to the elements is 2.110 eV per atom. For the size of the total moment, the calculation gives 9.58 μB/cell. The calculated volume comes out at 27.136 Å³/atom. The calculation puts the density at 4.5 g/cm3.

Cell lengths 5.139, 5.139, 5.139 Å; angles 90.00, 90.00, 90.00 degrees
Space group Pm-3m (No. 221)
Inequivalent atoms, fractional coordinates:
Be1 0.000 0.000 0.000 [1 per cell]
V1 0.000 0.500 0.500 [3 per cell]
Pb1 0.500 0.500 0.500 [1 per cell]


# 6
Rb3CeY3Se8 | GGA-PBE | relaxed

For the size of the total moment, the calculation gives 0.00 μB/cell. The calculated volume comes out at 33.334 Å³/atom. The calculation puts the density at 4.3 g/cm3. The calculation puts the formation energy from raw total energies at -26.0 eV per formula unit.

Cell lengths 8.4240, 8.4240, 24.4067 Å; angles 90.00, 90.00, 120.00 degrees
Space group R-3m (No. 166, hexagonal axes)
Inequivalent atoms, fractional coordinates:
Rb1 0.0000 0.5000 0.0000 [9 per cell]
Ce1 0.0000 0.0000 0.5000 [3 per cell]
Y1 0.0000 0.5000 0.5000 [9 per cell]
Se1 0.0000 0.0000 0.2316 [6 per cell]
Se2 0.0007 0.5003 0.2307 [18 per cell]


# 7
Zr6Pd5 | GGA-PBE | relaxed

The value obtained for the energy relative to the elements is -0.447 eV per atom. For the size of the total moment, the calculation gives 0.08 μB/cell. The calculated volume comes out at 19.896 Å³/atom. The calculation puts the density at 8.2 g/cm3.

Cell lengths 4.561, 6.963, 7.222 Å; angles 90.00, 107.42, 90.00 degrees
Space group P2/m (No. 10)
Inequivalent atoms, fractional coordinates:
Zr1 0.000 0.238 0.000 [2 per cell]
Zr2 0.339 0.245 0.682 [4 per cell]
Pd1 0.177 0.000 0.348 [2 per cell]
Pd2 0.177 0.500 0.351 [2 per cell]
Pd3 0.500 0.500 0.000 [1 per cell]


# 8
Cs3Tl2In2Bi4 | GGA-PBE | relaxed

The value obtained for the energy relative to the elements is -0.199 eV per atom. For the size of the total moment, the calculation gives 0.00 μB/cell. The calculated volume comes out at 46.177 Å³/atom. The calculation puts the density at 6.1 g/cm3.

Cell lengths 5.3218, 5.3218, 20.7094 Å; angles 90.00, 90.00, 120.00 degrees
Space group P-3m1 (No. 164)
Inequivalent atoms, fractional coordinates:
Cs1 0.0000 0.0000 0.0000 [1 per cell]
Cs2 0.0000 0.0000 0.2865 [2 per cell]
Tl1 0.3333 0.6667 0.1434 [2 per cell]
In1 0.3333 0.6667 0.5545 [2 per cell]
Bi1 0.3333 0.6667 0.4074 [2 per cell]
Bi2 0.3333 0.6667 0.8578 [2 per cell]


# 9
CrIn2Rh | GGA-PBE | relaxed

The value obtained for the energy relative to the elements is 0.355 eV per atom. For the size of the total moment, the calculation gives 16.17 μB/cell. The calculated volume comes out at 20.250 Å³/atom. The calculation puts the density at 7.9 g/cm3.

Cell lengths 7.469, 7.469, 5.807 Å; angles 90.00, 90.00, 90.00 degrees
Space group I-42d (No. 122)
Inequivalent atoms, fractional coordinates:
Cr1 0.000 0.000 0.000 [4 per cell]
In1 0.232 0.250 0.625 [8 per cell]
Rh1 0.000 0.000 0.500 [4 per cell]


# 10
CoAsPCl2 | GGA-PBE | relaxed

For the size of the total moment, the calculation gives 0.85 μB/cell. The calculated volume comes out at 24.575 Å³/atom. The calculation puts the density at 3.2 g/cm3. The calculation puts the formation energy from raw total energies at 4.0 eV per formula unit.

Cell lengths 5.139, 5.139, 4.653 Å; angles 90.00, 90.00, 90.00 degrees
Space group P4/mmm (No. 123)
Inequivalent atoms, fractional coordinates:
Co1 0.000 0.000 0.000 [1 per cell]
As1 0.000 0.000 0.500 [1 per cell]
P1 0.500 0.500 0.000 [1 per cell]
Cl1 0.000 0.500 0.500 [2 per cell]


# 11
ReBPd2 | GGA-PBE | relaxed

The value obtained for the energy relative to the elements is 0.801 eV per atom. For the size of the total moment, the calculation gives 0.00 μB/cell. The calculated volume comes out at 14.046 Å³/atom. The calculation puts the density at 12.1 g/cm3.

Cell lengths 3.489, 3.489, 18.466 Å; angles 90.00, 90.00, 90.00 degrees
Space group I-42d (No. 122)
Inequivalent atoms, fractional coordinates:
Re1 0.000 0.000 0.000 [4 per cell]
B1 0.000 0.000 0.500 [4 per cell]
Pd1 0.245 0.250 0.625 [8 per cell]


# 12
GdHfPb2 | GGA-PBE | relaxed

The value obtained for the energy relative to the elements is -0.129 eV per atom. For the size of the total moment, the calculation gives 21.07 μB/cell. The calculated volume comes out at 27.391 Å³/atom. The calculation puts the density at 11.4 g/cm3.

Cell lengths 4.8725, 4.8725, 15.9866 Å; angles 90.00, 90.00, 120.00 degrees
Space group R-3m (No. 166, hexagonal axes)
Inequivalent atoms, fractional coordinates:
Gd1 0.0000 0.0000 0.0000 [3 per cell]
Hf1 0.0000 0.0000 0.5000 [3 per cell]
Pb1 0.0000 0.0000 0.2406 [6 per cell]


# 13
CsPrZnF6 | GGA-PBE | relaxed

For the size of the total moment, the calculation gives 0.00 μB/cell. The calculated volume comes out at 17.959 Å³/atom. The calculation puts the density at 4.7 g/cm3. The calculation puts the formation energy from raw total energies at -28.6 eV per formula unit.

Cell lengths 7.661, 8.050, 10.484 Å; angles 90.00, 90.00, 90.00 degrees
Space group Imma (No. 74)
Inequivalent atoms, fractional coordinates:
Cs1 0.000 0.250 0.090 [4 per cell]
Pr1 0.000 0.000 0.500 [4 per cell]
Zn1 0.250 0.250 0.750 [4 per cell]
F1 0.000 0.250 0.386 [4 per cell]
F2 0.000 0.250 0.664 [4 per cell]
F3 0.237 0.064 0.884 [16 per cell]


# 14
Sr3Sb | GGA-PBE | relaxed

For the size of the total moment, the calculation gives 0.00 μB/cell. The calculated volume comes out at 38.264 Å³/atom. The calculation puts the density at 4.2 g/cm3. The calculation puts the formation energy from raw total energies at -1.9 eV per formula unit.

Cell lengths 5.349, 5.349, 5.349 Å; angles 90.00, 90.00, 90.00 degrees
Space group Pm-3m (No. 221)
Inequivalent atoms, fractional coordinates:
Sr1 0.000 0.000 0.500 [3 per cell]
Sb1 0.500 0.500 0.500 [1 per cell]


# 15
TaCu3Se | GGA-PBE | relaxed

For the size of the total moment, the calculation gives 0.00 μB/cell. The calculated volume comes out at 22.202 Å³/atom. The calculation puts the density at 6.7 g/cm3. The calculation puts the formation energy from raw total energies at 7.6 eV per formula unit.

Cell lengths 4.806, 4.806, 4.806 Å; angles 90.00, 90.00, 90.00 degrees
Space group Pm-3m (No. 221)
Inequivalent atoms, fractional coordinates:
Ta1 0.000 0.000 0.000 [1 per cell]
Cu1 0.000 0.000 0.500 [3 per cell]
Se1 0.500 0.500 0.500 [1 per cell]


# 16
YHfP2S | GGA-PBE | relaxed

For the size of the total moment, the calculation gives 0.00 μB/cell. The calculated volume comes out at 23.715 Å³/atom. The calculation puts the density at 5.1 g/cm3. The calculation puts the formation energy from raw total energies at -3.3 eV per formula unit.

Cell lengths 4.943, 4.943, 4.854 Å; angles 90.00, 90.00, 90.00 degrees
Space group P4/mmm (No. 123)
Inequivalent atoms, fractional coordinates:
Y1 0.000 0.000 0.000 [1 per cell]
Hf1 0.500 0.500 0.500 [1 per cell]
P1 0.000 0.500 0.500 [2 per cell]
S1 0.500 0.500 0.000 [1 per cell]


# 17
PrScBe17 | GGA-PBE | relaxed

The value obtained for the energy relative to the elements is -0.102 eV per atom. For the size of the total moment, the calculation gives 0.00 μB/cell. The calculated volume comes out at 10.177 Å³/atom. The calculation puts the density at 2.9 g/cm3.

Cell lengths 7.7190, 7.7190, 11.2423 Å; angles 90.00, 90.00, 120.00 degrees
Space group R3m (No. 160, hexagonal axes)
Inequivalent atoms, fractional coordinates:
Pr1 0.0000 0.0000 0.0000 [3 per cell]
Sc1 0.0000 0.0000 0.3225 [3 per cell]
Be1 0.0000 0.0000 0.5614 [3 per cell]
Be2 0.0000 0.0000 0.7517 [3 per cell]
Be3 0.0015 0.5007 0.5004 [9 per cell]
Be4 0.0030 0.5015 0.1576 [9 per cell]
Be5 0.0555 0.3857 0.3256 [18 per cell]
Be6 0.1705 0.3409 0.1541 [9 per cell]


# 18
NbInCuNi2 | GGA-PBE | relaxed

The value obtained for the energy relative to the elements is 1.295 eV per atom. For the size of the total moment, the calculation gives 0.00 μB/cell. The calculated volume comes out at 18.820 Å³/atom. The calculation puts the density at 6.9 g/cm3.

Cell lengths 4.554, 4.554, 4.538 Å; angles 90.00, 90.00, 90.00 degrees
Space group P4/mmm (No. 123)
Inequivalent atoms, fractional coordinates:
Nb1 0.000 0.000 0.000 [1 per cell]
In1 0.500 0.500 0.500 [1 per cell]
Cu1 0.500 0.500 0.000 [1 per cell]
Ni1 0.000 0.500 0.500 [2 per cell]


# 19
RbFeCo | GGA-PBE | relaxed

The value obtained for the energy relative to the elements is 0.873 eV per atom. For the size of the total moment, the calculation gives 18.99 μB/cell. The calculated volume comes out at 27.927 Å³/atom. The calculation puts the density at 4.0 g/cm3.

Cell lengths 11.740, 3.271, 8.726 Å; angles 90.00, 90.00, 90.00 degrees
Space group Pnma (No. 62)
Inequivalent atoms, fractional coordinates:
Rb1 0.179 0.250 0.058 [4 per cell]
Fe1 0.057 0.250 0.418 [4 per cell]
Co1 0.054 0.250 0.682 [4 per cell]


# 20
Li4AcEu | GGA-PBE | relaxed

The value obtained for the energy relative to the elements is 0.062 eV per atom. For the size of the total moment, the calculation gives 32.25 μB/cell. The calculated volume comes out at 28.506 Å³/atom. The calculation puts the density at 3.9 g/cm3.

Cell lengths 8.811, 8.811, 8.811 Å; angles 90.00, 90.00, 90.00 degrees
Space group F-43m (No. 216)
Inequivalent atoms, fractional coordinates:
Li1 0.124 0.124 0.376 [16 per cell]
Ac1 0.000 0.000 0.000 [4 per cell]
Eu1 0.250 0.250 0.750 [4 per cell]


# 21
ScZnTc | GGA-PBE | relaxed

The value obtained for the energy relative to the elements is 0.333 eV per atom. For the size of the total moment, the calculation gives 0.04 μB/cell. The calculated volume comes out at 18.547 Å³/atom. The calculation puts the density at 6.2 g/cm3.

Cell lengths 6.060, 6.060, 6.060 Å; angles 90.00, 90.00, 90.00 degrees
Space group F-43m (No. 216)
Inequivalent atoms, fractional coordinates:
Sc1 0.000 0.000 0.000 [4 per cell]
Zn1 0.250 0.250 0.750 [4 per cell]
Tc1 0.000 0.000 0.500 [4 per cell]


# 22
LaMgFe2C | GGA-PBE | relaxed

The value obtained for the energy relative to the elements is 1.859 eV per atom. For the size of the total moment, the calculation gives 4.97 μB/cell. The calculated volume comes out at 21.129 Å³/atom. The calculation puts the density at 4.5 g/cm3.

Cell lengths 4.862, 4.862, 4.470 Å; angles 90.00, 90.00, 90.00 degrees
Space group P4/mmm (No. 123)
Inequivalent atoms, fractional coordinates:
La1 0.000 0.000 0.000 [1 per cell]
Mg1 0.500 0.500 0.500 [1 per cell]
Fe1 0.000 0.500 0.000 [2 per cell]
C1 0.000 0.000 0.500 [1 per cell]


# 23
TiIrSe | GGA-PBE | relaxed

For the size of the total moment, the calculation gives 0.00 μB/cell. The calculated volume comes out at 18.221 Å³/atom. The calculation puts the density at 9.7 g/cm3. The calculation puts the formation energy from raw total energies at -1.9 eV per formula unit.

Cell lengths 3.229, 6.125, 6.313 Å; angles 117.09, 97.74, 92.71 degrees
Space group P-1 (No. 2)
Inequivalent atoms, fractional coordinates:
Ti1 0.052 0.398 0.184 [2 per cell]
Ir1 0.449 0.258 0.832 [2 per cell]
Se1 0.417 0.793 0.616 [2 per cell]


# 24
La2PaOsN5 | GGA-PBE | relaxed

For the size of the total moment, the calculation gives 0.00 μB/cell. The calculated volume comes out at 14.576 Å³/atom. The calculation puts the density at 9.7 g/cm3. The calculation puts the formation energy from raw total energies at -9.3 eV per formula unit.

Cell lengths 3.900, 3.900, 8.624 Å; angles 90.00, 90.00, 90.00 degrees
Space group P4/mmm (No. 123)
Inequivalent atoms, fractional coordinates:
La1 0.000 0.000 0.206 [2 per cell]
Pa1 0.500 0.500 0.500 [1 per cell]
Os1 0.500 0.500 0.000 [1 per cell]
N1 0.000 0.000 0.500 [1 per cell]
N2 0.000 0.500 0.000 [2 per cell]
N3 0.500 0.500 0.257 [2 per cell]